! AcCuI2O8 | Alexandria | PBE | optimized geometry; values from VASP
! Electronic total energy   -61.6 eV per cell
&SYSTEM
  ibrav = 0, nat = 12, ntyp = 4
/
ATOMIC_SPECIES
Ac 227.00 Ac.upf
Cu 63.55 Cu.upf
I 126.90 I.upf
O 16.00 O.upf
CELL_PARAMETERS angstrom
6.0455 0.0000 0.0000
-3.0228 5.2356 0.0000
0.0000 0.0000 6.7495
ATOMIC_POSITIONS crystal
Ac 0.0000 0.0000 0.0000
Cu 0.0000 0.0000 0.5000
I 0.3333 0.6667 0.3238
I 0.6667 0.3333 0.6762
O 0.1464 0.2927 0.3042
O 0.1464 0.8536 0.3042
O 0.2927 0.1464 0.6958
O 0.3333 0.6667 0.0528
O 0.6667 0.3333 0.9472
O 0.7073 0.8536 0.3042
O 0.8536 0.1464 0.6958
O 0.8536 0.7073 0.6958

=====

! AcCu2IO8 | Alexandria | PBE | optimized geometry; values from VASP
! Electronic total energy   -61.8 eV per cell
&SYSTEM
  ibrav = 0, nat = 12, ntyp = 4
/
ATOMIC_SPECIES
Ac 227.00 Ac.upf
Cu 63.55 Cu.upf
I 126.90 I.upf
O 16.00 O.upf
CELL_PARAMETERS angstrom
-3.5814 3.5814 3.2453
3.5814 -3.5814 3.2453
3.5814 3.5814 -3.2453
ATOMIC_POSITIONS crystal
Ac 0.0000 0.0000 0.0000
Cu 0.2500 0.7500 0.5000
Cu 0.5000 0.5000 0.0000
I 0.7500 0.2500 0.5000
O 0.0308 0.3727 0.3419
O 0.0308 0.6888 0.6581
O 0.1012 0.3168 0.7844
O 0.3112 0.9692 0.3419
O 0.5325 0.3168 0.2156
O 0.6273 0.9692 0.6581
O 0.6832 0.4675 0.7844
O 0.6832 0.8988 0.2156

=====

! Ac8CuOs3I4 | Alexandria | PBE | optimized geometry; values from VASP
! Electronic total energy   -86.9 eV per cell
&SYSTEM
  ibrav = 0, nat = 16, ntyp = 4
/
ATOMIC_SPECIES
Ac 227.00 Ac.upf
Cu 63.55 Cu.upf
Os 190.23 Os.upf
I 126.90 I.upf
CELL_PARAMETERS angstrom
7.6280 -4.4088 0.0000
7.6280 4.4088 0.0000
-5.0842 0.0000 8.6234
ATOMIC_POSITIONS crystal
Ac 0.2138 0.7355 0.6843
Ac 0.2287 0.2287 0.6856
Ac 0.2645 0.7862 0.3157
Ac 0.2647 0.2647 0.3154
Ac 0.7353 0.7353 0.6846
Ac 0.7355 0.2138 0.6843
Ac 0.7713 0.7713 0.3144
Ac 0.7862 0.2645 0.3157
Cu 0.5000 0.5000 0.5000
Os 0.0000 0.0000 0.5000
Os 0.0000 0.5000 0.5000
Os 0.5000 0.0000 0.5000
I 0.0000 0.0000 0.0000
I 0.0000 0.5000 0.0000
I 0.5000 0.0000 0.0000
I 0.5000 0.5000 0.0000

=====

! Ac8CuOs3I3 | Alexandria | PBE | optimized geometry; values from VASP
! Electronic total energy   -82.6 eV per cell
&SYSTEM
  ibrav = 0, nat = 15, ntyp = 4
/
ATOMIC_SPECIES
Ac 227.00 Ac.upf
Cu 63.55 Cu.upf
Os 190.23 Os.upf
I 126.90 I.upf
CELL_PARAMETERS angstrom
4.4082 2.5450 8.5775
-4.4082 2.5450 8.5775
0.0000 -5.0901 8.5775
ATOMIC_POSITIONS crystal
Ac 0.2135 0.7349 0.7349
Ac 0.2288 0.2288 0.2288
Ac 0.2651 0.2651 0.7865
Ac 0.2651 0.7865 0.2651
Ac 0.7349 0.2135 0.7349
Ac 0.7349 0.7349 0.2135
Ac 0.7712 0.7712 0.7712
Ac 0.7865 0.2651 0.2651
Cu 0.5000 0.5000 0.5000
Os 0.0000 0.0000 0.5000
Os 0.0000 0.5000 0.0000
Os 0.5000 0.0000 0.0000
I 0.0000 0.5000 0.5000
I 0.5000 0.0000 0.5000
I 0.5000 0.5000 0.0000

=====

! Ac8CuPd3I4 | Alexandria | PBE | optimized geometry; values from VASP
! Electronic total energy   -72.5 eV per cell
&SYSTEM
  ibrav = 0, nat = 16, ntyp = 4
/
ATOMIC_SPECIES
Ac 227.00 Ac.upf
Cu 63.55 Cu.upf
Pd 106.42 Pd.upf
I 126.90 I.upf
CELL_PARAMETERS angstrom
7.7969 -4.4986 0.0000
7.7969 4.4986 0.0000
-5.2084 0.0000 8.6261
ATOMIC_POSITIONS crystal
Ac 0.2275 0.7295 0.6861
Ac 0.2299 0.2299 0.6894
Ac 0.2705 0.2705 0.3139
Ac 0.2705 0.7725 0.3139
Ac 0.7295 0.2275 0.6861
Ac 0.7295 0.7295 0.6861
Ac 0.7701 0.7701 0.3106
Ac 0.7725 0.2705 0.3139
Cu 0.5000 0.5000 0.5000
Pd 0.0000 0.0000 0.5000
Pd 0.0000 0.5000 0.5000
Pd 0.5000 0.0000 0.5000
I 0.0000 0.0000 0.0000
I 0.0000 0.5000 0.0000
I 0.5000 0.0000 0.0000
I 0.5000 0.5000 0.0000

=====

! Ac8CuPt3I4 | Alexandria | PBE | optimized geometry; values from VASP
! Electronic total energy   -78.2 eV per cell
&SYSTEM
  ibrav = 0, nat = 16, ntyp = 4
/
ATOMIC_SPECIES
Ac 227.00 Ac.upf
Cu 63.55 Cu.upf
Pt 195.08 Pt.upf
I 126.90 I.upf
CELL_PARAMETERS angstrom
7.7897 -4.4956 0.0000
7.7897 4.4956 0.0000
-5.2022 0.0000 8.6253
ATOMIC_POSITIONS crystal
Ac 0.2238 0.7304 0.6842
Ac 0.2291 0.2291 0.6869
Ac 0.2695 0.2695 0.3157
Ac 0.2696 0.7762 0.3158
Ac 0.7304 0.2238 0.6842
Ac 0.7305 0.7305 0.6843
Ac 0.7709 0.7709 0.3131
Ac 0.7762 0.2696 0.3158
Cu 0.5000 0.5000 0.5000
Pt 0.0000 0.0000 0.5000
Pt 0.0000 0.5000 0.5000
Pt 0.5000 0.0000 0.5000
I 0.0000 0.0000 0.0000
I 0.0000 0.5000 0.0000
I 0.5000 0.0000 0.0000
I 0.5000 0.5000 0.0000

=====

! Ac6CuPt2I3 | Alexandria | PBE | optimized geometry; values from VASP
! Electronic total energy   -57.5 eV per cell
&SYSTEM
  ibrav = 0, nat = 12, ntyp = 4
/
ATOMIC_SPECIES
Ac 227.00 Ac.upf
Cu 63.55 Cu.upf
Pt 195.08 Pt.upf
I 126.90 I.upf
CELL_PARAMETERS angstrom
3.8966 -6.7497 0.0000
3.8966 6.7497 0.0000
-2.5995 0.0000 8.6097
ATOMIC_POSITIONS crystal
Ac 0.1006 0.4382 0.8145
Ac 0.2243 0.2243 0.1855
Ac 0.4382 0.1006 0.8145
Ac 0.5618 0.8994 0.1855
Ac 0.7757 0.7757 0.8145
Ac 0.8994 0.5618 0.1855
Cu 0.5000 0.5000 0.0000
Pt 0.1667 0.8333 0.0000
Pt 0.8333 0.1667 0.0000
I 0.0000 0.0000 0.5000
I 0.3349 0.6651 0.5000
I 0.6651 0.3349 0.5000

=====

! RbAcCu2I6 | Alexandria | PBE | optimized geometry; values from VASP
! Electronic total energy   -63.7 eV per cell
&SYSTEM
  ibrav = 0, nat = 20, ntyp = 4
/
ATOMIC_SPECIES
Rb 85.47 Rb.upf
Ac 227.00 Ac.upf
Cu 63.55 Cu.upf
I 126.90 I.upf
CELL_PARAMETERS angstrom
5.5887 -7.9405 0.0000
5.5887 7.9405 0.0000
-2.8055 0.0000 10.1776
ATOMIC_POSITIONS crystal
Rb 0.1272 0.8728 0.7500
Rb 0.8728 0.1272 0.2500
Ac 0.4485 0.5515 0.2500
Ac 0.5515 0.4485 0.7500
Cu 0.1325 0.4002 0.7544
Cu 0.4002 0.1325 0.2544
Cu 0.5998 0.8675 0.7456
Cu 0.8675 0.5998 0.2456
I 0.0898 0.5202 0.2370
I 0.1850 0.2142 0.5983
I 0.2142 0.1850 0.0983
I 0.3527 0.5929 0.9338
I 0.4071 0.6473 0.5662
I 0.4798 0.9102 0.2630
I 0.5202 0.0898 0.7370
I 0.5929 0.3527 0.4338
I 0.6473 0.4071 0.0662
I 0.7858 0.8150 0.9017
I 0.8150 0.7858 0.4017
I 0.9102 0.4798 0.7630

=====

Calculated magnetization in order - 2.03, 0.03, 0.00, 0.58, 0.00, 0.00, 0.00, 0.00 μB/cell